1.
Here is Mg2ZrAu after structural relaxation from the Alexandria database. Energies are from PBE. Values from VASP.

```
&SYSTEM
  ibrav = 0, nat = 4, ntyp = 3
/
ATOMIC_SPECIES
Mg 24.30 Mg.upf
Au 196.97 Au.upf
Zr 91.22 Zr.upf
CELL_PARAMETERS angstrom
-2.1755 -3.1177 -1.7996
0.6398 -2.4144 3.4094
-3.8087 1.5938 1.8433
ATOMIC_POSITIONS crystal
Mg 0.0000 0.0000 0.0000
Mg 0.5000 0.5000 0.0000
Au 0.0000 0.5000 0.5000
Zr 0.5000 0.0000 0.5000
```

Computed properties:
Calculated total energy (eV per formula unit): -16.067
Offset from the most stable computed form (eV per formula unit): 0.06
Space group: No. 47
Fermi-level density of states (states/eV per atom): 0.7193

2.
Here is MgZrAu4 after structural relaxation from the Alexandria database. Energies are from PBE. Values from VASP.

```
&SYSTEM
  ibrav = 0, nat = 6, ntyp = 3
/
ATOMIC_SPECIES
Mg 24.30 Mg.upf
Au 196.97 Au.upf
Zr 91.22 Zr.upf
CELL_PARAMETERS angstrom
4.6557 0.0000 0.0002
-0.0002 4.6562 0.0003
0.0053 0.0082 6.0806
ATOMIC_POSITIONS crystal
Mg 0.0014 0.9972 0.4980
Au 0.5015 0.9969 0.2597
Au 0.0015 0.4969 0.7365
Au 0.0010 0.4976 0.2598
Au 0.5012 0.9978 0.7366
Zr 0.5012 0.4974 0.9982
```

Computed properties:
Calculated total energy (eV per formula unit): -24.846
Offset from the most stable computed form (eV per formula unit): 1.68
Space group: No. 12
Fermi-level density of states (states/eV per atom): 0.3306

3.
Here is MgZr2Au6 after structural relaxation from the Alexandria database. Energies are from PBE. Values from VASP.

```
&SYSTEM
  ibrav = 0, nat = 18, ntyp = 3
/
ATOMIC_SPECIES
Mg 24.30 Mg.upf
Zr 91.22 Zr.upf
Au 196.97 Au.upf
CELL_PARAMETERS angstrom
-4.6197 -1.2609 -1.5676
1.3981 -8.3342 2.6957
-3.4753 6.0137 5.5171
ATOMIC_POSITIONS crystal
Mg 0.7500 0.7500 0.2500
Mg 0.2500 0.2500 0.7500
Zr 0.5000 0.3374 0.1626
Zr 0.0000 0.8374 0.6626
Zr 0.5000 0.6626 0.8374
Zr 0.0000 0.1626 0.3374
Au 0.4988 0.3325 0.4989
Au 0.5012 0.6675 0.5011
Au 0.4988 0.9988 0.8325
Au 0.0012 0.5011 0.6675
Au 0.0012 0.1675 0.0012
Au 0.2446 0.9141 0.4140
Au 0.9988 0.8325 0.9988
Au 0.9988 0.4989 0.3325
Au 0.5012 0.0012 0.1675
Au 0.2554 0.5860 0.0859
Au 0.7554 0.0859 0.5860
Au 0.7446 0.4140 0.9141
```

Computed properties:
Calculated total energy (eV per formula unit): -43.207
Space group: No. 12
Fermi-level density of states (states/eV per atom): 0.4043

4.
Here is MgZr5Au6 after structural relaxation from the Alexandria database. Energies are from PBE. Values from VASP.

```
&SYSTEM
  ibrav = 0, nat = 12, ntyp = 3
/
ATOMIC_SPECIES
Au 196.97 Au.upf
Zr 91.22 Zr.upf
Mg 24.30 Mg.upf
CELL_PARAMETERS angstrom
4.5921 -0.3025 0.7707
-0.0199 6.8195 2.7962
1.0964 0.6832 8.0551
ATOMIC_POSITIONS crystal
Au 0.8321 0.0633 0.3359
Au 0.1679 0.3991 0.6642
Au 0.5000 0.7879 0.0000
Au 0.1679 0.9367 0.6641
Au 0.8321 0.6009 0.3358
Au 0.5000 0.2121 0.0000
Zr 0.6455 0.6463 0.7074
Zr 0.3545 0.3537 0.2926
Zr 0.6809 0.1805 0.6390
Zr 0.3191 0.8195 0.3610
Zr 0.0000 0.5000 0.0000
Mg 0.0000 0.0000 0.0000
```

Computed properties:
Calculated total energy (eV per formula unit): -70.082
Space group: No. 12
Fermi-level density of states (states/eV per atom): 0.9131